Below is a relaxed PaSiB crystal, with properties calculated at the PBE level.

Values from the calculation:
The spin magnetization is 0.02 μB/cell. The total DFT energy (no corrections) comes out at -7.1280 eV per atom. As for the crystal system: cubic. As for the energy above the most stable polymorph in this dataset: 654 meV per atom.

Unit cell a=4.128 b=4.128 c=4.128 alpha=60.00 beta=60.00 gamma=60.00
Atoms (fractional coordinates):
Pa 0.000 0.000 0.000
Si 0.500 0.500 0.500
B 0.250 0.250 0.250